Record 1
12
Lattice="-3.325 6.730 3.491 3.325 -6.730 3.491 3.325 6.730 -3.491" Properties=species:S:1:pos:R:3 comment="PBE TbTm3Rh2, relaxed" magnetic_moment_mub_per_fu=0.00 space_group="Ibam (72)" formation_enthalpy_0k_ev_per_atom=-0.605 dos_at_fermi_per_ev_cell=9.5 pbc="T T T"
Tb 0.000 0.000 0.000
Tb 0.000 0.000 3.491
Tm 3.325 3.592 -1.745
Tm 3.325 0.000 1.745
Tm 0.000 3.137 1.745
Tm 3.325 3.592 1.745
Tm 0.000 6.730 1.745
Tm 0.000 3.137 5.236
Rh 4.722 1.870 0.000
Rh 1.397 4.859 0.000
Rh 1.929 1.870 3.491
Rh -1.397 4.859 3.491

Record 2
14
Lattice="7.726 0.000 0.000 0.000 6.281 0.000 -3.020 0.000 7.238" Properties=species:S:1:pos:R:3 comment="PBE TbTm4Rh2, relaxed" magnetic_moment_mub_per_fu=0.00 space_group="P2_1/m (11)" formation_enthalpy_0k_ev_per_atom=-0.524 dos_at_fermi_per_ev_cell=15.0 pbc="T T T"
Tb -0.299 1.570 1.162
Tb 5.006 4.711 6.077
Tm 0.073 3.152 4.256
Tm 0.073 6.269 4.256
Tm 1.837 4.711 1.815
Tm 2.920 1.570 0.120
Tm 1.787 4.711 7.119
Tm 2.869 1.570 5.423
Tm 4.634 0.012 2.983
Tm 4.634 3.129 2.983
Rh -2.140 1.570 5.346
Rh 2.057 1.570 2.704
Rh 2.650 4.711 4.535
Rh 6.846 4.711 1.893

Record 3
12
Lattice="15.437 0.000 0.000 0.000 4.239 0.000 -1.446 0.000 4.509" Properties=species:S:1:pos:R:3 comment="PBE Tb3TmRh2, relaxed" magnetic_moment_mub_per_fu=0.00 space_group="C2/m (12)" formation_enthalpy_0k_ev_per_atom=-0.553 dos_at_fermi_per_ev_cell=8.9 pbc="T T T"
Tb 0.000 0.000 0.000
Tb 2.603 2.119 0.840
Tb 3.670 0.000 3.669
Tb 7.718 2.119 0.000
Tb 10.321 0.000 0.840
Tb 11.388 2.119 3.669
Tm -0.723 2.119 2.255
Tm 6.996 0.000 2.255
Rh 1.083 0.000 2.835
Rh 5.190 2.119 1.674
Rh 8.802 2.119 2.835
Rh 12.908 0.000 1.674

Record 4
6
Lattice="3.400 0.000 0.000 0.000 3.400 0.000 0.000 0.000 10.189" Properties=species:S:1:pos:R:3 comment="PBE TbTm2Rh3, relaxed" magnetic_moment_mub_per_fu=0.00 space_group="P4/mmm (123)" formation_enthalpy_0k_ev_per_atom=-0.925 dos_at_fermi_per_ev_cell=3.3 pbc="T T T"
Tb 0.000 0.000 0.000
Tm 0.000 0.000 3.413
Tm 0.000 0.000 6.776
Rh 1.700 1.700 1.749
Rh 1.700 1.700 5.094
Rh 1.700 1.700 8.440

Record 5
12
Lattice="3.805 0.000 0.000 -1.902 3.295 0.000 0.000 0.000 26.844" Properties=species:S:1:pos:R:3 comment="PBE TbTm2Rh, relaxed" magnetic_moment_mub_per_fu=0.00 space_group="R3m (160)" formation_enthalpy_0k_ev_per_atom=-0.364 dos_at_fermi_per_ev_cell=15.0 pbc="T T T"
Tb 0.000 0.000 0.000
Tb 0.000 2.197 17.896
Tb 1.902 1.098 8.948
Tm 0.000 0.000 6.123
Tm 0.000 0.000 11.884
Tm 0.000 2.197 2.936
Tm 0.000 2.197 24.019
Tm 1.902 1.098 15.071
Tm 1.902 1.098 20.833
Rh 0.000 0.000 22.428
Rh 0.000 2.197 13.480
Rh 1.902 1.098 4.532

Record 6
8
Lattice="2.399 1.385 7.842 -2.399 1.385 7.842 0.000 -2.770 7.842" Properties=species:S:1:pos:R:3 comment="PBE TbTm3Rh4, relaxed" magnetic_moment_mub_per_fu=0.00 space_group="R-3m (166)" formation_enthalpy_0k_ev_per_atom=-0.943 dos_at_fermi_per_ev_cell=3.1 pbc="T T T"
Tb 0.000 0.000 0.000
Tm 0.000 0.000 5.864
Tm 0.000 0.000 11.763
Tm 0.000 0.000 17.661
Rh 0.000 0.000 2.961
Rh 0.000 0.000 8.844
Rh 0.000 0.000 14.682
Rh 0.000 0.000 20.565

Record 7
10
Lattice="-2.107 3.653 8.273 2.107 -3.653 8.273 2.107 3.653 -8.273" Properties=species:S:1:pos:R:3 comment="PBE Tb5TmRh4, relaxed" magnetic_moment_mub_per_fu=0.00 space_group="Immm (71)" formation_enthalpy_0k_ev_per_atom=-0.648 dos_at_fermi_per_ev_cell=4.9 pbc="T T T"
Tb 0.000 0.000 0.000
Tb 2.107 1.864 -2.720
Tb 2.107 1.864 2.720
Tb 0.000 1.789 5.552
Tb 0.000 1.789 10.993
Tm 0.000 3.653 0.000
Rh 2.107 1.823 0.000
Rh 2.107 0.000 4.986
Rh 0.000 3.653 3.286
Rh 0.000 1.830 8.273

Record 8
12
Lattice="4.581 0.000 0.000 0.000 8.675 0.000 0.000 0.000 7.155" Properties=species:S:1:pos:R:3 comment="PBE TbTm3Rh2, relaxed" magnetic_moment_mub_per_fu=0.00 space_group="Pmc2_1 (26)" formation_enthalpy_0k_ev_per_atom=-0.698 dos_at_fermi_per_ev_cell=11.4 pbc="T T T"
Tb 0.000 0.735 0.000
Tb 0.000 7.940 3.577
Tm 0.000 2.873 4.502
Tm 0.000 5.802 0.925
Tm 2.291 1.497 2.483
Tm 2.291 3.606 6.978
Tm 2.291 5.069 3.401
Tm 2.291 7.178 6.060
Rh 0.000 2.984 1.663
Rh 0.000 5.691 5.240
Rh 2.291 1.389 5.314
Rh 2.291 7.286 1.737

Record 9
14
Lattice="4.795 -4.912 0.000 4.795 4.912 0.000 0.000 0.000 6.628" Properties=species:S:1:pos:R:3 comment="PBE TbTm3Rh3, relaxed" magnetic_moment_mub_per_fu=0.00 space_group="Cmmm (65)" formation_enthalpy_0k_ev_per_atom=-0.772 dos_at_fermi_per_ev_cell=6.2 pbc="T T T"
Tb 2.306 0.000 0.000
Tb 7.284 0.000 0.000
Tm 4.795 2.412 3.314
Tm 2.446 0.000 3.314
Tm 4.795 2.296 0.000
Tm 4.795 -2.296 0.000
Tm 7.144 0.000 3.314
Tm 4.795 -2.412 3.314
Rh 2.398 2.456 1.670
Rh 2.398 2.456 4.958
Rh 2.398 -2.456 1.670
Rh 2.398 -2.456 4.958
Rh 4.795 0.000 1.675
Rh 4.795 0.000 4.953

Record 10
5
Lattice="5.333 0.000 0.000 0.000 5.333 0.000 0.000 0.000 5.333" Properties=species:S:1:pos:R:3 comment="PBE TbTm3Rh, relaxed" magnetic_moment_mub_per_fu=0.00 space_group="Pm-3m (221)" formation_enthalpy_0k_ev_per_atom=-0.260 dos_at_fermi_per_ev_cell=7.7 pbc="T T T"
Tb 0.000 0.000 0.000
Tm 0.000 2.666 2.666
Tm 2.666 0.000 2.666
Tm 2.666 2.666 0.000
Rh 2.666 2.666 2.666

Record 11
12
Lattice="4.771 0.000 0.000 0.000 6.826 0.000 -2.375 0.000 7.168" Properties=species:S:1:pos:R:3 comment="PBE TbTm5Rh6, relaxed" magnetic_moment_mub_per_fu=0.00 space_group="P2/m (10)" formation_enthalpy_0k_ev_per_atom=-0.949 dos_at_fermi_per_ev_cell=6.3 pbc="T T T"
Tb 0.000 0.000 0.000
Tm 0.000 3.413 0.000
Tm 0.007 0.000 4.768
Tm 0.007 3.413 4.777
Tm 2.389 0.000 2.400
Tm 2.389 3.413 2.392
Rh 0.003 1.716 2.403
Rh 0.003 5.110 2.403
Rh 2.386 1.728 0.000
Rh 2.386 5.098 0.000
Rh 2.393 1.716 4.765
Rh 2.393 5.110 4.765

Record 12
12
Lattice="2.621 1.513 8.737 -2.621 1.513 8.737 0.000 -3.027 8.737" Properties=species:S:1:pos:R:3 comment="PBE TbTm2Rh9, relaxed" magnetic_moment_mub_per_fu=0.00 space_group="R-3m (166)" formation_enthalpy_0k_ev_per_atom=-0.583 dos_at_fermi_per_ev_cell=13.1 pbc="T T T"
Tb 0.000 0.000 0.000
Tm 0.000 0.000 3.650
Tm 0.000 0.000 22.561
Rh -1.314 -0.759 10.919
Rh 0.000 0.000 8.733
Rh 0.000 -1.517 15.292
Rh -1.314 0.759 15.292
Rh 0.000 0.000 13.106
Rh 1.314 -0.759 10.919
Rh 0.000 1.517 10.919
Rh 0.000 0.000 17.479
Rh 1.314 0.759 15.292